Material: La2SmIn4
Method: DFT, PBE
State: relaxed

Summary:
The space-group type is I4/mmm (139). The calculated formation energy is -2.33 eV/f.u.

abc: 8.5098 8.5098 8.5098
angles: 143.00 143.00 53.33
Fractional positions:
La 0.2456 0.2456 0.0000
La 0.7544 0.7544 0.0000
Sm 0.5000 0.5000 0.0000
In 0.1090 0.6090 0.5000
In 0.3910 0.8910 0.5000
In 0.6090 0.1090 0.5000
In 0.8910 0.3910 0.5000